Entry from Alexandria: Cs3PrCl6 after structural relaxation (PBE).

Properties
Formation energy from raw total energies = -2153.1 meV per atom
Final energy = -4.00 eV per atom

The structure in POSCAR format:
```
Cs3PrCl6
1.0
8.2235 0.0000 0.0445
0.0000 8.6610 0.0000
0.1656 0.0000 11.6942
Cs Cl Pr
6 12 2
Cartesian
3.9528 0.5525 2.8674
0.2418 4.8830 3.0019
8.1473 3.7780 8.7367
0.0828 0.0000 5.8471
4.1118 4.3305 0.0223
4.4363 8.1084 8.8713
3.2618 4.7936 8.4456
5.1273 3.8673 3.2930
1.0983 0.4631 9.1178
1.3806 2.2731 0.8530
7.2908 8.1978 2.6208
2.8140 6.6036 5.0164
1.9569 2.8053 5.2744
6.1514 1.5251 11.1437
6.4322 5.8556 6.4643
5.5751 2.0574 6.7223
2.2377 7.1358 0.5949
7.0085 6.3878 10.8857
4.1945 4.3305 5.8693
0.0000 0.0000 0.0000
```